Entry from Alexandria via LeMat-Bulk: crystalline Na2MnBr2 at its relaxed geometry (PBE).

Structure (extended XYZ):
```
10
Lattice="8.3294 0.0000 0.0000 0.0000 8.3294 0.0000 0.0000 0.0000 3.7660" Properties=species:S:1:pos:R:3 pbc="T T T"
Na 1.2830 5.4477 1.8830
Na 2.8817 1.2830 1.8830
Na 5.4477 7.0464 1.8830
Na 7.0464 2.8817 1.8830
Br 2.8837 7.0485 0.0000
Br 1.2810 2.8837 0.0000
Br 7.0485 5.4457 0.0000
Br 5.4457 1.2810 0.0000
Mn 0.0000 0.0000 0.0000
Mn 4.1647 4.1647 0.0000
```

## Properties
Energy, eV/cell: -35.55
Calculated volume, Å³ per atom: 26.1
N(E_F), states/eV per cell: 2.0